# 1
Computed, not measured: a relaxed CaTh2Fe crystal at the PBE level of DFT.

## Properties
**E**: -24.76 eV per cell
**Density**: 6.90 Mg/m³
**Symmetry**: R-3m (166)
**Magnetization**: 0.0000 μB per atom
**ΔH_f (0 K)**: 0.136 eV/atom

Cell: 3.863 3.863 10.669 Å, 79.57 79.57 60.00°
Fractional positions:
Ca (0.000, 0.000, 0.000)
Fe (0.500, 0.500, 0.500)
Th (0.881, 0.881, 0.358)
Th (0.119, 0.119, 0.642)

=====

# 2
Computed, not measured: a relaxed CaThFe4 crystal at the PBE level of DFT.

## Properties
**E**: -42.77 eV per cell
**Density**: 8.26 Mg/m³
**Symmetry**: F-43m (216)
**Magnetization**: 1.2808 μB per atom
**ΔH_f (0 K)**: 0.084 eV/atom

Cell: 5.202 5.202 5.202 Å, 60.00 60.00 60.00°
Site moments in Bohr magnetons follow the coordinates.
Fractional positions:
Fe (0.624, 0.624, 0.624)  2.19
Fe (0.127, 0.624, 0.624)  2.19
Fe (0.624, 0.127, 0.624)  2.19
Fe (0.624, 0.624, 0.127)  2.19
Ca (0.000, 0.000, 0.000)  -0.14
Th (0.250, 0.250, 0.250)  -0.45

=====

# 3
Computed, not measured: a relaxed CaThFe crystal at the PBE level of DFT.

## Properties
**E**: -35.10 eV per cell
**Density**: 6.50 Mg/m³
**Symmetry**: C2/m (12)
**Magnetization**: 0.0000 μB per atom
**ΔH_f (0 K)**: 0.111 eV/atom

Cell: 5.340 3.769 11.796 Å, 89.92 90.00 135.10°
Fractional positions:
Fe (0.249, 0.499, 0.135)
Fe (0.751, 0.501, 0.865)
Th (0.750, 0.499, 0.112)
Th (0.250, 0.501, 0.888)
Ca (0.750, 0.500, 0.630)
Ca (0.250, 0.500, 0.370)